Version w
# BiPtF2 PBE-GGA optimized geometry
data_BiPtF2
_chemical_formula_sum 'Bi4 Pt4 F8'
_cell_length_a 6.278
_cell_length_b 6.278
_cell_length_c 6.278
_cell_angle_alpha 90.00
_cell_angle_beta 90.00
_cell_angle_gamma 90.00
_space_group_name_H-M_alt 'F m -3 m'
_space_group_IT_number 225
_space_group_name_Hall '-F 4 2 3'
loop_
_atom_site_label
_atom_site_fract_x
_atom_site_fract_y
_atom_site_fract_z
Bi1 0.000 0.000 0.000
Pt1 0.000 0.000 0.500
F1 0.250 0.250 0.250
# - Calculated volume: 15.47 A^3/atom



Version x
# BiPtF2 PBE-GGA optimized geometry
data_BiPtF2
_chemical_formula_sum 'Bi3 Pt3 F6'
_cell_length_a 3.1338
_cell_length_b 3.1338
_cell_length_c 24.4089
_cell_angle_alpha 90.00
_cell_angle_beta 90.00
_cell_angle_gamma 120.00
_space_group_name_H-M_alt 'R -3 m'
_space_group_IT_number 166
_space_group_name_Hall '-R 3 2"'
loop_
_atom_site_label
_atom_site_fract_x
_atom_site_fract_y
_atom_site_fract_z
Bi1 0.0000 0.0000 0.0000
Pt1 0.0000 0.0000 0.5000
F1 0.0000 0.0000 0.4167
# - Calculated volume: 17.30 A^3/atom



Version y
# BiPtF2 PBE-GGA optimized geometry
data_BiPtF2
_chemical_formula_sum 'Bi4 Pt4 F8'
_cell_length_a 4.018
_cell_length_b 4.018
_cell_length_c 16.507
_cell_angle_alpha 90.00
_cell_angle_beta 90.00
_cell_angle_gamma 90.00
_space_group_name_H-M_alt 'I -4 2 d'
_space_group_IT_number 122
_space_group_name_Hall 'I -4 2bw'
loop_
_atom_site_label
_atom_site_fract_x
_atom_site_fract_y
_atom_site_fract_z
Bi1 0.000 0.000 0.000
Pt1 0.000 0.000 0.500
F1 0.241 0.250 0.125
# - Calculated volume: 16.65 A^3/atom



Least stable: version w



Version w
# BiPt3F PBE-GGA optimized geometry
data_BiPt3F
_chemical_formula_sum 'Bi1 Pt3 F1'
_cell_length_a 5.126
_cell_length_b 5.126
_cell_length_c 5.126
_cell_angle_alpha 90.00
_cell_angle_beta 90.00
_cell_angle_gamma 90.00
_space_group_name_H-M_alt 'P m -3 m'
_space_group_IT_number 221
_space_group_name_Hall '-P 4 2 3'
loop_
_atom_site_label
_atom_site_fract_x
_atom_site_fract_y
_atom_site_fract_z
Bi1 0.000 0.000 0.000
Pt1 0.000 0.000 0.500
F1 0.500 0.500 0.500
# - Calculated volume: 26.93 A^3/atom



Version x
# BiPt3F PBE-GGA optimized geometry
data_BiPt3F
_chemical_formula_sum 'Bi1 Pt3 F1'
_cell_length_a 4.505
_cell_length_b 4.505
_cell_length_c 4.505
_cell_angle_alpha 90.00
_cell_angle_beta 90.00
_cell_angle_gamma 90.00
_space_group_name_H-M_alt 'P m -3 m'
_space_group_IT_number 221
_space_group_name_Hall '-P 4 2 3'
loop_
_atom_site_label
_atom_site_fract_x
_atom_site_fract_y
_atom_site_fract_z
Bi1 0.000 0.000 0.000
Pt1 0.000 0.500 0.500
F1 0.500 0.500 0.500
# - Calculated volume: 18.28 A^3/atom



Least stable: version w



Version w
# RbBi3F PBE-GGA optimized geometry
data_RbBi3F
_chemical_formula_sum 'Rb1 Bi3 F1'
_cell_length_a 6.276
_cell_length_b 6.276
_cell_length_c 6.276
_cell_angle_alpha 90.00
_cell_angle_beta 90.00
_cell_angle_gamma 90.00
_space_group_name_H-M_alt 'P m -3 m'
_space_group_IT_number 221
_space_group_name_Hall '-P 4 2 3'
loop_
_atom_site_label
_atom_site_fract_x
_atom_site_fract_y
_atom_site_fract_z
Rb1 0.000 0.000 0.000
Bi1 0.000 0.000 0.500
F1 0.500 0.500 0.500
# - Calculated volume: 49.44 A^3/atom



Version x
# RbBi3F PBE-GGA optimized geometry
data_RbBi3F
_chemical_formula_sum 'Rb1 Bi3 F1'
_cell_length_a 5.299
_cell_length_b 5.299
_cell_length_c 5.299
_cell_angle_alpha 90.00
_cell_angle_beta 90.00
_cell_angle_gamma 90.00
_space_group_name_H-M_alt 'P m -3 m'
_space_group_IT_number 221
_space_group_name_Hall '-P 4 2 3'
loop_
_atom_site_label
_atom_site_fract_x
_atom_site_fract_y
_atom_site_fract_z
Rb1 0.000 0.000 0.000
Bi1 0.000 0.500 0.500
F1 0.500 0.500 0.500
# - Calculated volume: 29.77 A^3/atom



Least stable: version w